# ErRhAu

Crystalline ErRhAu at its relaxed geometry (PBE, Alexandria via LeMat-Bulk).

The calculated volume is 227.5 Å³/cell. For the uncorrected energy, the calculation gives -69.4 eV/cell. As for the mass density: 13.64 g/cm³. Its energy above the most stable polymorph in this dataset is 0.00 eV per formula unit. Its spin magnetization is 0.00 μB per formula unit. The crystal system is orthorhombic. For the energy of formation from the pure elements, the calculation gives -0.7166 eV per atom.

The space group is Cmcm (No. 63) and the conventional cell measures 4.854, 8.313 and 5.639 Å, with angles of 90.00, 90.00 and 90.00 degrees. The asymmetric unit holds Er at (0.000, 0.165, 0.250), Rh at (0.000, 0.171, 0.750) and Au at (0.000, 0.500, 0.000).

# LiHfScTa2

Crystalline LiHfScTa2 at its relaxed geometry (PBE, Alexandria via LeMat-Bulk).

The calculated volume is 132.8 Å³/cell. For the uncorrected energy, the calculation gives -34.4 eV/cell. As for the mass density: 7.40 g/cm³. Its spin magnetization is 0.49 μB per formula unit. The crystal system is tetragonal. For the energy of formation from the pure elements, the calculation gives 1.5090 eV per atom.

The space group is P4/mmm (No. 123) and the conventional cell measures 4.977, 4.977 and 5.363 Å, with angles of 90.00, 90.00 and 90.00 degrees. The asymmetric unit holds Li at (0.000, 0.000, 0.000), Hf at (0.500, 0.500, 0.500), Sc at (0.500, 0.500, 0.000) and Ta at (0.000, 0.500, 0.500).

# ScTa4Ru

Crystalline ScTa4Ru at its relaxed geometry (PBE, Alexandria via LeMat-Bulk).

The calculated volume is 453.9 Å³/cell. For the uncorrected energy, the calculation gives -246.9 eV/cell. As for the mass density: 12.73 g/cm³. Its spin magnetization is 0.00 μB per formula unit. The crystal system is cubic. For the energy of formation from the pure elements, the calculation gives 0.2145 eV per atom.

The space group is F-43m (No. 216) and the conventional cell measures 7.685, 7.685 and 7.685 Å, with angles of 90.00, 90.00 and 90.00 degrees. The asymmetric unit holds Sc at (0.000, 0.000, 0.000), Ta at (0.125, 0.125, 0.625) and Ru at (0.250, 0.250, 0.250).

# InCoRu2

Crystalline InCoRu2 at its relaxed geometry (PBE, Alexandria via LeMat-Bulk).

The calculated volume is 60.0 Å³/cell. For the uncorrected energy, the calculation gives -27.0 eV/cell. As for the mass density: 10.40 g/cm³. Its spin magnetization is 2.93 μB per formula unit. The crystal system is orthorhombic. For the energy of formation from the pure elements, the calculation gives 0.3580 eV per atom.

The space group is Pmmm (No. 47) and the conventional cell measures 2.988, 4.430 and 4.533 Å, with angles of 90.00, 90.00 and 90.00 degrees. The asymmetric unit holds In at (0.000, 0.000, 0.000), Co at (0.500, 0.000, 0.500), Ru at (0.000, 0.500, 0.500) and Ru at (0.500, 0.500, 0.000).

Question: Number 4 is which compound?
Answer: InCoRu2

Repeat the second record exactly.
# LiHfScTa2

Crystalline LiHfScTa2 at its relaxed geometry (PBE, Alexandria via LeMat-Bulk).

The calculated volume is 132.8 Å³/cell. For the uncorrected energy, the calculation gives -34.4 eV/cell. As for the mass density: 7.40 g/cm³. Its spin magnetization is 0.49 μB per formula unit. The crystal system is tetragonal. For the energy of formation from the pure elements, the calculation gives 1.5090 eV per atom.

The space group is P4/mmm (No. 123) and the conventional cell measures 4.977, 4.977 and 5.363 Å, with angles of 90.00, 90.00 and 90.00 degrees. The asymmetric unit holds Li at (0.000, 0.000, 0.000), Hf at (0.500, 0.500, 0.500), Sc at (0.500, 0.500, 0.000) and Ta at (0.000, 0.500, 0.500).

Question: Which formula does entry 4 have?
Answer: InCoRu2